K2IrW (PBE, relaxed); space group = No. 123; polymorph energy (0 for the lowest one) = 531 meV per atom; magnetization = 0.00 μB per cell; E_form = 1.1520 eV/atom; calculated volume = 21.30 Å³/atom
1.0
3.8084 0.0000 0.0000
0.0000 3.8084 0.0000
0.0000 0.0000 5.8745
K Ir W
2 1 1
Cartesian
0.0000 1.9042 0.0000 K
1.9042 0.0000 0.0000 K
0.0000 0.0000 2.9372 Ir
1.9042 1.9042 2.9372 W